VASP calculation (meta-GGA SCAN) on a PBEsol-optimized structure of ZrSc2Pb.

Values from the calculation:
Energy of formation from the pure elements = 120 meV per atom

abc: 3.1839 3.1839 11.0528
angles: 81.72 81.72 60.00
Each line ends with the local moment (μB).
Fractional positions:
Pb1 0.5000 0.5000 0.5000  -0.01
Sc1 0.9105 0.9105 0.2686  0.58
Sc2 0.0895 0.0895 0.7314  0.58
Zr1 0.0000 0.0000 0.0000  0.27